# 1
DFT (PBE) results for a relaxed K3Bi2Pb5 crystal.

E_form (eV per atom): -0.164
Crystal system: orthorhombic
Theoretical density (g cm⁻³): 6.559
Symmetry: Ibam, No. 72
Electronic total energy (eV per atom): -3.12

Cell lengths 7.3876, 11.0236, 11.0236 Å; angles 80.62, 70.42, 70.42 degrees
Closest atoms and distances in Å follow each position.
Fractional coordinates of all 20 atoms:
K 0.2500 0.0000 0.0000  4 Bi 3.56, 2 K 3.69, 2 Pb 3.92
K 0.7500 0.0000 0.0000  4 Bi 3.56, 2 K 3.69, 2 Pb 3.92
K 0.3724 0.3814 0.8738  3 Bi 3.69-4.01, 3 Pb 4.00-4.01
K 0.6276 0.6186 0.1262  3 Bi 3.69-4.01, 3 Pb 4.00-4.01
K 0.8724 0.8738 0.3814  3 Bi 3.69-4.01, 3 Pb 4.00-4.01
K 0.1276 0.1262 0.6186  3 Bi 3.69-4.01, 3 Pb 4.00-4.01
Bi 0.1475 0.7069 0.9982  3 Pb 3.11-3.26
Bi 0.8525 0.2931 0.0018  3 Pb 3.11-3.26
Bi 0.6475 0.9982 0.7069  3 Pb 3.11-3.26
Bi 0.3525 0.0018 0.2931  3 Pb 3.11-3.26
Pb 0.2500 0.5000 0.5000  4 Pb 3.24
Pb 0.7500 0.5000 0.5000  4 Pb 3.24
Pb 0.5098 0.7402 0.7402  2 Bi 3.26, 3 Pb 3.28-3.63
Pb 0.9902 0.2598 0.2598  2 Bi 3.26, 3 Pb 3.28-3.63
Pb 0.4902 0.2598 0.2598  2 Bi 3.26, 3 Pb 3.28-3.63
Pb 0.0098 0.7402 0.7402  2 Bi 3.26, 3 Pb 3.28-3.63
Pb 0.1177 0.5209 0.2437  1 Bi 3.11, 4 Pb 3.24-3.28
Pb 0.8823 0.4791 0.7563  1 Bi 3.11, 4 Pb 3.24-3.28
Pb 0.6177 0.2437 0.5209  1 Bi 3.11, 4 Pb 3.24-3.28
Pb 0.3823 0.7563 0.4791  1 Bi 3.11, 4 Pb 3.24-3.28

# 2
DFT (PBE) results for a relaxed Ce4Tl4Pb crystal.

E_form (eV per atom): -0.101
Crystal system: tetragonal
Theoretical density (g cm⁻³): 9.890
Symmetry: I4/m, No. 87
Electronic total energy (eV per atom): -4.20

Cell lengths 6.0607, 7.2869, 7.2869 Å; angles 80.04, 65.43, 65.43 degrees
Closest atoms and distances in Å follow each position.
Fractional coordinates of all 9 atoms:
Ce 0.6436 0.3966 0.3163  1 Ce 2.79
Ce 0.3564 0.6034 0.6837  1 Ce 2.79
Ce 0.9598 0.6837 0.3966  1 Ce 2.79
Ce 0.0402 0.3163 0.6034  1 Ce 2.79
Tl 0.6993 0.6835 0.9180  2 Tl 3.06, 2 Ce 3.20-3.25
Tl 0.3007 0.3165 0.0820  2 Tl 3.06, 2 Ce 3.20-3.25
Tl 0.6173 0.0820 0.6835  2 Tl 3.06, 2 Ce 3.20-3.25
Tl 0.3827 0.9180 0.3165  2 Tl 3.06, 2 Ce 3.20-3.25
Pb 0.0000 0.0000 0.0000  4 Ce 3.36, 8 Tl 3.73

Q: Number 2 is which compound?
A: Ce4Tl4Pb

Q: Look up the theoretical density of the second one.
A: 9.890 g cm⁻³